Density functional theory data (PBE) for an optimized crystal structure of Pr2Zn16Ir.

abc: 9.0539 9.0539 13.3008
angles: 90.00 90.00 120.00
Space group R3m (No. 160, hexagonal axes)
Symmetry-distinct sites (fractional):
Pr (0.0000, 0.0000, 0.0000)
Pr (0.0000, 0.0000, 0.3285)
Zn (0.0000, 0.0000, 0.5680)
Zn (0.0001, 0.2852, 0.6700)
Zn (0.0077, 0.5038, 0.8198)
Zn (0.1673, 0.3345, 0.8486)
Zn (0.1706, 0.3412, 0.5029)
Ir (0.0000, 0.0000, 0.7669)

Output
Theoretical density ... 8022 kg/m³
Crystal system ... trigonal
Energy ... -131.8 eV for the cell shown
DOS(E_F) ... 22.44 states/eV/cell
Total magnetic moment ... 0.000 μB per atom